[1]
Entry from Alexandria via LeMat-Bulk: a relaxed Li2MgRu2 crystal (PBE).

```
data_Li2MgRu2
_chemical_formula_sum 'Li2 Mg1 Ru2'
_space_group_name_H-M_alt 'P 1'
_space_group_IT_number 1
_cell_length_a 7.076
_cell_length_b 7.076
_cell_length_c 7.076
_cell_angle_alpha 151.17
_cell_angle_beta 151.17
_cell_angle_gamma 41.23
loop_
_space_group_symop_operation_xyz
'x,y,z'
loop_
_atom_site_label
_atom_site_type_symbol
_atom_site_fract_x
_atom_site_fract_y
_atom_site_fract_z
Li1 Li 0.602 0.602 0.000
Li2 Li 0.398 0.398 0.000
Mg1 Mg 0.000 0.000 0.000
Ru1 Ru 0.250 0.750 0.500
Ru2 Ru 0.750 0.250 0.500
```

DFT formation energy: 0.400 eV per atom
space-group type: I4/mmm, No. 139

[2]
Entry from Alexandria via LeMat-Bulk: a relaxed LiMgRu2 crystal (PBE).

```
data_LiMgRu2
_chemical_formula_sum 'Li1 Mg1 Ru2'
_space_group_name_H-M_alt 'P 1'
_space_group_IT_number 1
_cell_length_a 2.902
_cell_length_b 2.902
_cell_length_c 7.068
_cell_angle_alpha 90.00
_cell_angle_beta 90.00
_cell_angle_gamma 90.00
loop_
_space_group_symop_operation_xyz
'x,y,z'
loop_
_atom_site_label
_atom_site_type_symbol
_atom_site_fract_x
_atom_site_fract_y
_atom_site_fract_z
Li1 Li 0.000 0.000 0.477
Mg1 Mg 0.500 0.500 0.758
Ru1 Ru 0.000 0.000 0.022
Ru2 Ru 0.500 0.500 0.243
```

DFT formation energy: 0.042 eV per atom
space-group type: P4mm, No. 99

[3]
Entry from Alexandria via LeMat-Bulk: a relaxed Li4MgRu crystal (PBE).

```
data_Li4MgRu
_chemical_formula_sum 'Li4 Mg1 Ru1'
_space_group_name_H-M_alt 'P 1'
_space_group_IT_number 1
_cell_length_a 4.992
_cell_length_b 4.992
_cell_length_c 4.992
_cell_angle_alpha 60.00
_cell_angle_beta 60.00
_cell_angle_gamma 60.00
loop_
_space_group_symop_operation_xyz
'x,y,z'
loop_
_atom_site_label
_atom_site_type_symbol
_atom_site_fract_x
_atom_site_fract_y
_atom_site_fract_z
Li1 Li 0.372 0.883 0.372
Li2 Li 0.883 0.372 0.372
Li3 Li 0.372 0.372 0.883
Li4 Li 0.372 0.372 0.372
Mg1 Mg 0.750 0.750 0.750
Ru1 Ru 0.000 0.000 0.000
```

DFT formation energy: 0.204 eV per atom
space-group type: F-43m, No. 216

[4]
Entry from Alexandria via LeMat-Bulk: a relaxed LiMgRu2 crystal (PBE).

```
data_LiMgRu2
_chemical_formula_sum 'Li1 Mg1 Ru2'
_space_group_name_H-M_alt 'P 1'
_space_group_IT_number 1
_cell_length_a 2.925
_cell_length_b 4.402
_cell_length_c 4.484
_cell_angle_alpha 90.00
_cell_angle_beta 90.00
_cell_angle_gamma 90.00
loop_
_space_group_symop_operation_xyz
'x,y,z'
loop_
_atom_site_label
_atom_site_type_symbol
_atom_site_fract_x
_atom_site_fract_y
_atom_site_fract_z
Li1 Li 0.500 0.000 0.500
Mg1 Mg 0.000 0.500 0.500
Ru1 Ru 0.000 0.000 0.000
Ru2 Ru 0.500 0.500 0.000
```

DFT formation energy: 0.150 eV per atom
space-group type: Pmmm, No. 47

[5]
Entry from Alexandria via LeMat-Bulk: a relaxed LiMgRu2 crystal (PBE).

```
data_LiMgRu2
_chemical_formula_sum 'Li1 Mg1 Ru2'
_space_group_name_H-M_alt 'P 1'
_space_group_IT_number 1
_cell_length_a 2.614
_cell_length_b 2.614
_cell_length_c 8.584
_cell_angle_alpha 90.00
_cell_angle_beta 90.00
_cell_angle_gamma 90.00
loop_
_space_group_symop_operation_xyz
'x,y,z'
loop_
_atom_site_label
_atom_site_type_symbol
_atom_site_fract_x
_atom_site_fract_y
_atom_site_fract_z
Li1 Li 0.500 0.500 0.250
Mg1 Mg 0.500 0.500 0.750
Ru1 Ru 0.000 0.000 0.001
Ru2 Ru 0.000 0.000 0.499
```

DFT formation energy: 0.281 eV per atom
space-group type: P4/mmm, No. 123

[6]
Entry from Alexandria via LeMat-Bulk: a relaxed LiMgRu2 crystal (PBE).

```
data_LiMgRu2
_chemical_formula_sum 'Li1 Mg1 Ru2'
_space_group_name_H-M_alt 'P 1'
_space_group_IT_number 1
_cell_length_a 3.724
_cell_length_b 2.812
_cell_length_c 6.375
_cell_angle_alpha 63.81
_cell_angle_beta 90.00
_cell_angle_gamma 90.00
loop_
_space_group_symop_operation_xyz
'x,y,z'
loop_
_atom_site_label
_atom_site_type_symbol
_atom_site_fract_x
_atom_site_fract_y
_atom_site_fract_z
Li1 Li 0.000 0.508 0.492
Mg1 Mg 0.500 0.756 0.744
Ru1 Ru 0.000 0.964 0.036
Ru2 Ru 0.500 0.273 0.228
```

DFT formation energy: 0.067 eV per atom
space-group type: Pmm2, No. 25

Energy / eV/atom: -4.39 -5.47 -2.88 -5.36 -5.23 -5.45